(1)
Material: TbPuIr
Method: DFT, PBE
State: relaxed

Output
Its density of states at the Fermi level is 9.82 states/eV/cell. For the magnetization, the calculation gives 1.926 μB/atom. Its formation energy is -1.32 eV per formula unit.

abc: 4.803 4.803 4.803
angles: 60.00 60.00 60.00
Positions (direct):
Ir 0.250 0.250 0.250
Tb 0.500 0.500 0.500
Pu 0.000 0.000 0.000



(2)
Material: Al2Cd4Au5
Method: DFT, PBE
State: relaxed

Output
Its density of states at the Fermi level is 7.09 states/eV/cell. For the magnetization, the calculation gives 0.000 μB/atom. Its formation energy is -2.13 eV per formula unit.

abc: 5.611 8.451 10.328
angles: 114.15 105.76 90.00
Positions (direct):
Au 0.722 0.438 0.445
Au 0.917 0.515 0.834
Au 0.222 0.007 0.445
Au 0.750 0.000 0.000
Au 0.417 0.319 0.834
Au 0.250 0.000 0.000
Au 0.778 0.993 0.555
Au 0.583 0.681 0.166
Au 0.083 0.485 0.166
Au 0.278 0.562 0.555
Cd 0.141 0.232 0.283
Cd 0.063 0.796 0.127
Cd 0.563 0.330 0.127
Cd 0.359 0.949 0.717
Cd 0.437 0.670 0.873
Cd 0.859 0.768 0.717
Cd 0.937 0.204 0.873
Cd 0.641 0.051 0.283
Al 0.050 0.300 0.600
Al 0.950 0.700 0.400
Al 0.550 0.300 0.600
Al 0.450 0.700 0.400



(3)
Material: ThAsPb
Method: DFT, PBE
State: relaxed

Output
Its density of states at the Fermi level is 3.82 states/eV/cell. For the magnetization, the calculation gives 0.000 μB/atom. Its formation energy is -2.26 eV per formula unit.

abc: 4.318 4.318 8.910
angles: 90.00 90.00 90.00
Positions (direct):
As 0.000 0.500 0.350
As 0.500 0.000 0.650
Th 0.500 0.000 0.319
Th 0.000 0.500 0.681
Pb 0.000 0.000 0.000
Pb 0.500 0.500 0.000



Copy entry 2 word for word.
Material: Al2Cd4Au5
Method: DFT, PBE
State: relaxed

Output
Its density of states at the Fermi level is 7.09 states/eV/cell. For the magnetization, the calculation gives 0.000 μB/atom. Its formation energy is -2.13 eV per formula unit.

abc: 5.611 8.451 10.328
angles: 114.15 105.76 90.00
Positions (direct):
Au 0.722 0.438 0.445
Au 0.917 0.515 0.834
Au 0.222 0.007 0.445
Au 0.750 0.000 0.000
Au 0.417 0.319 0.834
Au 0.250 0.000 0.000
Au 0.778 0.993 0.555
Au 0.583 0.681 0.166
Au 0.083 0.485 0.166
Au 0.278 0.562 0.555
Cd 0.141 0.232 0.283
Cd 0.063 0.796 0.127
Cd 0.563 0.330 0.127
Cd 0.359 0.949 0.717
Cd 0.437 0.670 0.873
Cd 0.859 0.768 0.717
Cd 0.937 0.204 0.873
Cd 0.641 0.051 0.283
Al 0.050 0.300 0.600
Al 0.950 0.700 0.400
Al 0.550 0.300 0.600
Al 0.450 0.700 0.400



The highest density of states at the Fermi level belongs to which entry? TbPuIr



magnetization of number 3 (ThAsPb)? 0.000 μB/atom